Here is crystalline Gd2GaHg5 at its relaxed geometry from OQMD. Energies are from PBE-GGA.

```
data_Gd2GaHg5
_chemical_formula_sum 'Gd4 Ga2 Hg10'
_cell_length_a 4.991
_cell_length_b 6.586
_cell_length_c 11.567
_cell_angle_alpha 90.00
_cell_angle_beta 90.00
_cell_angle_gamma 90.00
_symmetry_space_group_name_H-M 'A m m 2'
_symmetry_Int_Tables_number 38
loop_
_symmetry_equiv_pos_as_xyz
'x,y,z'
'-x,-y,z'
'-x,y,z'
'x,-y,z'
'x,y+1/2,z+1/2'
'-x,-y+1/2,z+1/2'
'-x,y+1/2,z+1/2'
'x,-y+1/2,z+1/2'
loop_
_atom_site_label
_atom_site_fract_x
_atom_site_fract_y
_atom_site_fract_z
_atom_site_occupancy
Gd1 0.000 0.000 0.000 1
Gd2 0.500 0.000 0.335 1
Ga1 0.500 0.000 0.832 1
Hg1 0.000 0.000 0.504 1
Hg2 0.000 0.243 0.754 1
Hg3 0.500 0.248 0.587 1
```

## Properties
ρ, g/cm3: 12.12
Total moment, μB per cell: 0.046
E_tot, eV/atom: -2.097